Material: TlInN2
Method: DFT, PBE
State: relaxed

extended XYZ file:
```
12
Lattice="3.681 0.000 0.000 -1.841 3.188 0.000 0.000 0.000 18.787" Properties=species:S:1:pos:R:3 pbc="T T T"
Tl 0.000 0.000 0.000
Tl 0.000 2.125 12.525
Tl 1.841 1.063 6.262
In 0.000 0.000 9.394
In 0.000 2.125 3.131
In 1.841 1.063 15.656
N 0.000 0.000 7.396
N 0.000 0.000 11.391
N 0.000 2.125 1.134
N 0.000 2.125 5.128
N 1.841 1.063 13.659
N 1.841 1.063 17.653
```

Properties
Electronic total energy = -4.38 eV per atom
Energy above the lowest structure with this stoichiometry = 881 meV per atom
V = 221 Å³ per cell
Formation energy from raw total energies = 1.063 eV per atom